Record 1
An optimized crystal structure of Nd2Er2Mg. Source: OQMD via LeMat-Bulk, functional PBE-GGA.

The structure in POSCAR format:
```
Nd2Er2Mg
1.0
-7.128 2.165 -4.674
-1.002 -8.410 -2.368
-2.345 -0.644 3.278
Nd Er Mg
4 4 2
Direct
0.846 0.346 0.500 Nd
0.154 0.654 0.500 Nd
0.654 0.846 0.500 Nd
0.346 0.154 0.500 Nd
0.853 0.647 0.000 Er
0.353 0.853 0.000 Er
0.647 0.147 0.000 Er
0.147 0.353 0.000 Er
0.500 0.500 0.000 Mg
0.000 0.000 0.000 Mg
```

Calculated values
symmetry = P4/mbm
magnetic moment = 0.01 μB/f.u.
final energy = -3.867 eV per atom



Record 2
An optimized crystal structure of NdErMg. Source: OQMD via LeMat-Bulk, functional PBE-GGA.

The structure in POSCAR format:
```
NdErMg
1.0
1.306 0.893 5.037
-2.492 3.758 2.747
-3.337 -1.332 3.868
Nd Er Mg
1 1 1
Direct
0.750 0.750 0.750 Nd
0.250 0.250 0.250 Er
0.000 0.000 0.000 Mg
```

Calculated values
symmetry = F-43m
polymorph energy (0 for the lowest one) = 0 meV per atom
magnetic moment = 0.43 μB/f.u.
final energy = -3.225 eV per atom



Record 3
An optimized crystal structure of Nd2ErMg3Pt3. Source: OQMD via LeMat-Bulk, functional PBE-GGA.

The structure in POSCAR format:
```
Nd2ErMg3Pt3
1.0
-0.241 3.879 -1.327
-5.048 -2.055 -5.091
-2.231 2.180 6.775
Pt Er Mg Nd
3 1 3 2
Direct
0.500 0.337 0.657 Pt
0.000 0.008 0.008 Pt
0.500 0.657 0.337 Pt
0.000 0.407 0.407 Er
0.500 0.755 0.755 Mg
0.500 0.243 0.004 Mg
0.500 0.004 0.243 Mg
0.000 0.001 0.588 Nd
0.000 0.588 0.001 Nd
```

Calculated values
symmetry = Amm2
magnetic moment = 0.01 μB/f.u.
final energy = -5.024 eV per atom



Record 4
An optimized crystal structure of NdEr2Mg4Tl2. Source: OQMD via LeMat-Bulk, functional PBE-GGA.

The structure in POSCAR format:
```
NdEr2Mg4Tl2
1.0
-0.319 -2.628 -3.856
-7.458 -0.995 1.295
2.503 5.861 -4.203
Er Mg Nd Tl
2 4 1 2
Direct
0.000 0.567 0.003 Er
0.000 0.003 0.567 Er
0.000 0.992 0.992 Mg
0.500 0.756 0.756 Mg
0.500 0.000 0.242 Mg
0.500 0.242 0.000 Mg
0.000 0.433 0.433 Nd
0.500 0.674 0.333 Tl
0.500 0.333 0.674 Tl
```

Calculated values
symmetry = Amm2
magnetic moment = 0.01 μB/f.u.
final energy = -2.992 eV per atom



Record 5
An optimized crystal structure of Nd2ErMg3Tl2Zn. Source: OQMD via LeMat-Bulk, functional PBE-GGA.

The structure in POSCAR format:
```
Nd2ErMg3Tl2Zn
1.0
-1.813 2.687 -3.334
-2.586 -6.133 -3.536
-4.388 3.381 5.111
Tl Nd Zn Mg Er
2 2 1 3 1
Direct
0.500 0.335 0.660 Tl
0.500 0.660 0.335 Tl
0.000 0.587 0.998 Nd
0.000 0.998 0.587 Nd
0.000 0.009 0.009 Zn
0.500 0.236 0.000 Mg
0.500 0.000 0.236 Mg
0.500 0.767 0.767 Mg
0.000 0.408 0.408 Er
```

Calculated values
symmetry = Amm2
magnetic moment = 0.01 μB/f.u.
final energy = -3.076 eV per atom



Record 6
An optimized crystal structure of NdEr2Mg3Tl2Zn. Source: OQMD via LeMat-Bulk, functional PBE-GGA.

The structure in POSCAR format:
```
NdEr2Mg3Tl2Zn
1.0
4.592 0.000 0.000
0.000 6.582 3.712
0.000 -6.582 3.712
Tl Mg Nd Er Zn
2 3 1 2 1
Direct
0.500 0.332 0.673 Tl
0.500 0.673 0.332 Tl
0.500 0.234 0.999 Mg
0.500 0.763 0.763 Mg
0.500 0.999 0.234 Mg
0.000 0.416 0.416 Nd
0.000 0.589 0.003 Er
0.000 0.003 0.589 Er
0.000 0.990 0.990 Zn
```

Calculated values
symmetry = Amm2
magnetic moment = 0.01 μB/f.u.
final energy = -3.040 eV per atom



Record 7
An optimized crystal structure of ErMgNi. Source: OQMD via LeMat-Bulk, functional PBE-GGA.

The structure in POSCAR format:
```
ErMgNi
1.0
0.525 -2.419 3.780
-2.718 -3.512 0.830
1.621 -4.211 -0.220
Ni Er Mg
1 1 1
Direct
0.000 0.000 0.000 Ni
0.250 0.250 0.250 Er
0.750 0.750 0.750 Mg
```

Calculated values
symmetry = F-43m
magnetic moment = 0.00 μB/f.u.
final energy = -4.068 eV per atom



Record 8
An optimized crystal structure of ErMgNi. Source: OQMD via LeMat-Bulk, functional PBE-GGA.

The structure in POSCAR format:
```
ErMgNi
1.0
3.578 -2.741 1.257
-0.713 -3.587 2.919
0.252 -4.394 -1.588
Mg Er Ni
1 1 1
Direct
0.250 0.250 0.250 Mg
0.000 0.000 0.000 Er
0.750 0.750 0.750 Ni
```

Calculated values
symmetry = F-43m
magnetic moment = 0.00 μB/f.u.
final energy = -3.364 eV per atom



Record 9
An optimized crystal structure of ErMg2Ni9. Source: OQMD via LeMat-Bulk, functional PBE-GGA.

The structure in POSCAR format:
```
ErMg2Ni9
1.0
2.411 1.392 7.846
-2.411 1.392 7.846
0.000 -2.784 7.846
Ni Mg Er
9 2 1
Direct
0.586 0.082 0.586 Ni
0.334 0.334 0.334 Ni
0.414 0.414 0.918 Ni
0.666 0.666 0.666 Ni
0.082 0.586 0.586 Ni
0.500 0.500 0.500 Ni
0.586 0.586 0.082 Ni
0.918 0.414 0.414 Ni
0.414 0.918 0.414 Ni
0.144 0.144 0.144 Mg
0.856 0.856 0.856 Mg
0.000 0.000 0.000 Er
```

Calculated values
symmetry = R-3m
magnetic moment = 1.92 μB/f.u.
final energy = -5.104 eV per atom



Record 10
An optimized crystal structure of Er2MgNi9. Source: OQMD via LeMat-Bulk, functional PBE-GGA.

The structure in POSCAR format:
```
Er2MgNi9
1.0
1.043 -7.502 3.862
5.377 -6.286 1.968
3.917 -4.314 6.191
Ni Er Mg
9 2 1
Direct
0.500 0.500 0.500 Ni
0.667 0.667 0.667 Ni
0.080 0.583 0.583 Ni
0.333 0.333 0.333 Ni
0.920 0.417 0.417 Ni
0.417 0.920 0.417 Ni
0.417 0.417 0.920 Ni
0.583 0.080 0.583 Ni
0.583 0.583 0.080 Ni
0.863 0.863 0.863 Er
0.137 0.137 0.137 Er
0.000 0.000 0.000 Mg
```

Calculated values
symmetry = R-3m
magnetic moment = 1.97 μB/f.u.
final energy = -5.376 eV per atom



Record 11
An optimized crystal structure of Er2MgNi2. Source: OQMD via LeMat-Bulk, functional PBE-GGA.

The structure in POSCAR format:
```
Er2MgNi2
1.0
7.272 0.000 0.000
0.000 7.272 0.000
0.000 0.000 3.705
Ni Er Mg
4 4 2
Direct
0.622 0.122 0.000 Ni
0.378 0.878 0.000 Ni
0.122 0.378 0.000 Ni
0.878 0.622 0.000 Ni
0.672 0.828 0.500 Er
0.172 0.672 0.500 Er
0.328 0.172 0.500 Er
0.828 0.328 0.500 Er
0.000 0.000 0.000 Mg
0.500 0.500 0.000 Mg
```

Calculated values
symmetry = P4/mbm
magnetic moment = 0.00 μB/f.u.
final energy = -4.772 eV per atom



Record 12
An optimized crystal structure of ErMgNp. Source: OQMD via LeMat-Bulk, functional PBE-GGA.

The structure in POSCAR format:
```
ErMgNp
1.0
3.815 1.953 2.883
0.007 5.020 1.218
-0.934 1.480 4.860
Mg Np Er
1 1 1
Direct
0.000 0.000 0.000 Mg
0.750 0.750 0.750 Np
0.250 0.250 0.250 Er
```

Calculated values
symmetry = F-43m
polymorph energy (0 for the lowest one) = 0 meV per atom
magnetic moment = 6.28 μB/f.u.
final energy = -5.346 eV per atom



Record 13
An optimized crystal structure of ErMgPO. Source: OQMD via LeMat-Bulk, functional PBE-GGA.

The structure in POSCAR format:
```
ErMgPO
1.0
-2.635 0.446 2.593
1.602 -5.281 2.536
4.224 3.088 3.761
P O Er Mg
2 2 2 2
Direct
0.000 0.281 0.831 P
0.000 0.719 0.331 P
0.500 0.753 0.877 O
0.500 0.247 0.377 O
0.500 0.539 0.603 Er
0.500 0.461 0.103 Er
0.000 0.119 0.443 Mg
0.000 0.881 0.943 Mg
```

Calculated values
symmetry = Pmc2_1
magnetic moment = 0.00 μB/f.u.
final energy = -6.042 eV per atom



Record 14
An optimized crystal structure of ErMgPO. Source: OQMD via LeMat-Bulk, functional PBE-GGA.

The structure in POSCAR format:
```
ErMgPO
1.0
4.265 0.000 0.000
0.000 6.096 0.000
0.000 0.000 5.704
O Mg P Er
2 2 2 2
Direct
0.500 0.826 0.386 O
0.500 0.174 0.886 O
0.500 0.119 0.539 Mg
0.500 0.881 0.039 Mg
0.000 0.728 0.908 P
0.000 0.272 0.408 P
0.000 0.722 0.421 Er
0.000 0.278 0.921 Er
```

Calculated values
symmetry = Pmc2_1
magnetic moment = 0.00 μB/f.u.
final energy = -6.093 eV per atom



Record 15
An optimized crystal structure of ErMgPO. Source: OQMD via LeMat-Bulk, functional PBE-GGA.

The structure in POSCAR format:
```
ErMgPO
1.0
-3.094 1.971 2.396
2.236 -0.929 3.652
4.456 7.876 -0.724
Mg Er P O
2 2 2 2
Direct
0.500 0.000 0.010 Mg
0.000 0.500 0.990 Mg
0.000 0.000 0.500 Er
0.500 0.500 0.500 Er
0.000 0.500 0.666 P
0.500 0.000 0.334 P
0.000 0.000 0.000 O
0.500 0.500 0.000 O
```

Calculated values
symmetry = P4/nmm
magnetic moment = 0.07 μB/f.u.
final energy = -5.342 eV per atom



Record 16
An optimized crystal structure of ErMgPO. Source: OQMD via LeMat-Bulk, functional PBE-GGA.

The structure in POSCAR format:
```
ErMgPO
1.0
3.973 0.000 0.000
0.000 3.973 0.000
0.000 0.000 8.688
P O Mg Er
2 2 2 2
Direct
0.000 0.500 0.682 P
0.500 0.000 0.318 P
0.000 0.000 0.000 O
0.500 0.500 0.000 O
0.000 0.000 0.500 Mg
0.500 0.500 0.500 Mg
0.000 0.500 0.119 Er
0.500 0.000 0.881 Er
```

Calculated values
symmetry = P4/nmm
magnetic moment = 0.00 μB/f.u.
final energy = -6.089 eV per atom



Record 17
An optimized crystal structure of Er2MgTaO6. Source: OQMD via LeMat-Bulk, functional PBE-GGA.

The structure in POSCAR format:
```
Er2MgTaO6
1.0
2.799 1.616 4.303
-2.799 1.616 4.303
0.000 -3.232 4.303
Er O Ta Mg
2 6 1 1
Direct
0.734 0.734 0.734 Er
0.266 0.266 0.266 Er
0.359 0.142 0.727 O
0.142 0.727 0.359 O
0.727 0.359 0.142 O
0.858 0.273 0.641 O
0.641 0.858 0.273 O
0.273 0.641 0.858 O
0.000 0.000 0.000 Ta
0.500 0.500 0.500 Mg
```

Calculated values
symmetry = R-3
magnetic moment = 1.00 μB/f.u.
final energy = -8.245 eV per atom



Record 18
An optimized crystal structure of ErMgTe2O6. Source: OQMD via LeMat-Bulk, functional PBE-GGA.

The structure in POSCAR format:
```
ErMgTe2O6
1.0
2.971 1.715 4.606
-2.971 1.715 4.606
0.000 -3.431 4.606
O Te Mg Er
6 2 1 1
Direct
0.649 0.328 0.136 O
0.296 0.617 0.808 O
0.617 0.808 0.296 O
0.328 0.136 0.649 O
0.808 0.296 0.617 O
0.136 0.649 0.328 O
0.675 0.675 0.675 Te
0.270 0.270 0.270 Te
0.472 0.472 0.472 Mg
0.972 0.972 0.972 Er
```

Calculated values
symmetry = R-3
magnetic moment = 0.00 μB/f.u.
final energy = -5.972 eV per atom



Record 19
An optimized crystal structure of Er2MgOs3. Source: OQMD via LeMat-Bulk, functional PBE-GGA.

The structure in POSCAR format:
```
Er2MgOs3
1.0
5.346 0.000 0.000
-2.673 4.630 0.000
0.000 0.000 8.889
Os Er Mg
6 4 2
Direct
0.830 0.170 0.750 Os
0.170 0.830 0.250 Os
0.660 0.830 0.250 Os
0.830 0.660 0.750 Os
0.340 0.170 0.750 Os
0.170 0.340 0.250 Os
0.667 0.333 0.071 Er
0.667 0.333 0.429 Er
0.333 0.667 0.571 Er
0.333 0.667 0.929 Er
0.000 0.000 0.000 Mg
0.000 0.000 0.500 Mg
```

Calculated values
symmetry = P6_3/mmc
magnetic moment = 0.01 μB/f.u.
final energy = -7.614 eV per atom



Record 20
An optimized crystal structure of Er2Mg3Os. Source: OQMD via LeMat-Bulk, functional PBE-GGA.

The structure in POSCAR format:
```
Er2Mg3Os
1.0
-4.074 -3.642 -1.229
4.986 -1.859 1.749
-3.039 0.349 9.036
Er Os Mg
4 2 6
Direct
0.333 0.667 0.948 Er
0.667 0.333 0.448 Er
0.667 0.333 0.052 Er
0.333 0.667 0.552 Er
0.000 0.000 0.000 Os
0.000 0.000 0.500 Os
0.837 0.163 0.750 Mg
0.163 0.325 0.250 Mg
0.675 0.837 0.250 Mg
0.837 0.675 0.750 Mg
0.325 0.163 0.750 Mg
0.163 0.837 0.250 Mg
```

Calculated values
symmetry = P6_3/mmc
magnetic moment = 0.02 μB/f.u.
final energy = -4.199 eV per atom



Record 21
An optimized crystal structure of ErMgZnP2. Source: OQMD via LeMat-Bulk, functional PBE-GGA.

The structure in POSCAR format:
```
ErMgZnP2
1.0
4.064 0.000 0.000
-2.032 3.520 0.000
0.000 0.000 6.741
P Mg Er Zn
2 1 1 1
Direct
0.667 0.333 0.237 P
0.333 0.667 0.745 P
0.333 0.667 0.369 Mg
0.000 0.000 0.999 Er
0.667 0.333 0.651 Zn
```

Calculated values
symmetry = P3m1
magnetic moment = 0.02 μB/f.u.
final energy = -4.419 eV per atom



Record 22
An optimized crystal structure of ErMgPa. Source: OQMD via LeMat-Bulk, functional PBE-GGA.

The structure in POSCAR format:
```
ErMgPa
1.0
0.000 3.574 3.574
3.574 0.000 3.574
3.574 3.574 0.000
Pa Mg Er
1 1 1
Direct
0.750 0.750 0.750 Pa
0.000 0.000 0.000 Mg
0.250 0.250 0.250 Er
```

Calculated values
symmetry = F-43m
polymorph energy (0 for the lowest one) = 0 meV per atom
magnetic moment = 1.49 μB/f.u.
final energy = -4.288 eV per atom



Record 23
An optimized crystal structure of ErMgPb. Source: OQMD via LeMat-Bulk, functional PBE-GGA.

The structure in POSCAR format:
```
ErMgPb
1.0
0.000 3.594 3.594
3.594 0.000 3.594
3.594 3.594 0.000
Er Pb Mg
1 1 1
Direct
0.000 0.000 0.000 Er
0.750 0.750 0.750 Pb
0.250 0.250 0.250 Mg
```

Calculated values
symmetry = F-43m
magnetic moment = 0.00 μB/f.u.
final energy = -3.188 eV per atom



Record 24
An optimized crystal structure of ErMgPb. Source: OQMD via LeMat-Bulk, functional PBE-GGA.

The structure in POSCAR format:
```
ErMgPb
1.0
1.637 2.394 4.040
-2.443 3.990 1.686
-2.560 -0.266 4.256
Mg Er Pb
1 1 1
Direct
0.750 0.750 0.750 Mg
0.250 0.250 0.250 Er
0.000 0.000 0.000 Pb
```

Calculated values
symmetry = F-43m
magnetic moment = 0.00 μB/f.u.
final energy = -3.388 eV per atom



Record 25
An optimized crystal structure of YEr2Mg3Pd2Pt. Source: OQMD via LeMat-Bulk, functional PBE-GGA.

The structure in POSCAR format:
```
YEr2Mg3Pd2Pt
1.0
-2.161 1.482 -3.147
-3.551 -6.421 -0.585
-2.654 5.327 4.332
Er Mg Pd Pt Y
2 3 2 1 1
Direct
0.000 0.000 0.594 Er
0.000 0.594 0.000 Er
0.500 0.754 0.754 Mg
0.500 0.001 0.245 Mg
0.500 0.245 0.001 Mg
0.500 0.332 0.671 Pd
0.500 0.671 0.332 Pd
0.000 0.996 0.996 Pt
0.000 0.409 0.409 Y
```

Calculated values
symmetry = Amm2
magnetic moment = 0.03 μB/f.u.
final energy = -4.858 eV per atom